No. 1
First-principles (PBE) data for an optimized crystal structure of K2FePb, as listed in Alexandria via LeMat-Bulk.

Lattice parameters (Å, degrees): 4.6858 6.1126 10.5471 90.00 90.00 90.00
Fractional coordinates of all 8 atoms:
K (0.0000, 0.0000, 0.0000)
K (0.0000, 0.5000, 0.1949)
K (0.5000, 0.0000, 0.6949)
K (0.5000, 0.5000, 0.5000)
Fe (0.0000, 0.0000, 0.3930)
Fe (0.5000, 0.5000, 0.8930)
Pb (0.0000, 0.5000, 0.7862)
Pb (0.5000, 0.0000, 0.2862)

Computed properties:
V: 37.761 A^3/atom
E: -0.116 Ha/atom

---

No. 2
First-principles (PBE) data for an optimized crystal structure of KFePb2, as listed in Alexandria via LeMat-Bulk.

Lattice parameters (Å, degrees): 3.7015 3.9295 8.5716 90.00 90.00 90.00
Fractional coordinates of all 4 atoms:
K (0.0000, 0.0000, 0.0000)
Fe (0.5000, 0.5000, 0.3784)
Pb (0.0000, 0.0000, 0.4063)
Pb (0.5000, 0.5000, 0.6928)

Computed properties:
V: 31.169 A^3/atom
E: -0.142 Ha/atom

---

No. 3
First-principles (PBE) data for an optimized crystal structure of KFe2Pb, as listed in Alexandria via LeMat-Bulk.

Lattice parameters (Å, degrees): 6.3729 10.0785 2.9665 90.00 111.81 90.00
Fractional coordinates of all 8 atoms:
K (0.0000, 0.0000, 0.0000)
K (0.5000, 0.5000, 0.0000)
Fe (0.2500, 0.2500, 0.5000)
Fe (0.2500, 0.7500, 0.5000)
Fe (0.7500, 0.2500, 0.5000)
Fe (0.7500, 0.7500, 0.5000)
Pb (0.0000, 0.5000, 0.0000)
Pb (0.5000, 0.0000, 0.0000)

Computed properties:
Distance to the lowest polymorph of the same formula: 2.63 eV per formula unit
V: 22.112 A^3/atom
E: -0.160 Ha/atom

---

No. 4
First-principles (PBE) data for an optimized crystal structure of KFe2Pb, as listed in Alexandria via LeMat-Bulk.

Lattice parameters (Å, degrees): 7.0146 7.0146 7.0146 90.00 90.00 90.00
Fractional coordinates of all 16 atoms:
K (0.0000, 0.0000, 0.0000)
K (0.0000, 0.5000, 0.5000)
K (0.5000, 0.0000, 0.5000)
K (0.5000, 0.5000, 0.0000)
Fe (0.0000, 0.0000, 0.5000)
Fe (0.0000, 0.5000, 0.0000)
Fe (0.2500, 0.2500, 0.2500)
Fe (0.2500, 0.7500, 0.7500)
Fe (0.5000, 0.0000, 0.0000)
Fe (0.5000, 0.5000, 0.5000)
Fe (0.7500, 0.2500, 0.7500)
Fe (0.7500, 0.7500, 0.2500)
Pb (0.2500, 0.2500, 0.7500)
Pb (0.2500, 0.7500, 0.2500)
Pb (0.7500, 0.2500, 0.2500)
Pb (0.7500, 0.7500, 0.7500)

Computed properties:
Distance to the lowest polymorph of the same formula: 2.29 eV per formula unit
V: 21.572 A^3/atom
E: -0.163 Ha/atom

---

No. 5
First-principles (PBE) data for an optimized crystal structure of KFePb2, as listed in Alexandria via LeMat-Bulk.

Lattice parameters (Å, degrees): 3.4517 6.2174 10.7686 90.00 90.00 90.00
Fractional coordinates of all 8 atoms:
K (0.0000, 0.0000, 0.0000)
K (0.5000, 0.5000, 0.5000)
Fe (0.0000, 0.0000, 0.5000)
Fe (0.5000, 0.5000, 0.0000)
Pb (0.0000, 0.5000, 0.2028)
Pb (0.0000, 0.5000, 0.7972)
Pb (0.5000, 0.0000, 0.2972)
Pb (0.5000, 0.0000, 0.7028)

Computed properties:
V: 28.888 A^3/atom
E: -0.142 Ha/atom

---

No. 6
First-principles (PBE) data for an optimized crystal structure of KFePb2, as listed in Alexandria via LeMat-Bulk.

Lattice parameters (Å, degrees): 4.7700 4.7700 9.8089 90.00 90.00 90.00
Fractional coordinates of all 8 atoms:
K (0.0000, 0.0000, 0.0000)
K (0.5000, 0.5000, 0.5000)
Fe (0.0000, 0.5000, 0.2500)
Fe (0.5000, 0.0000, 0.7500)
Pb (0.0000, 0.0000, 0.5000)
Pb (0.0000, 0.5000, 0.7500)
Pb (0.5000, 0.0000, 0.2500)
Pb (0.5000, 0.5000, 0.0000)

Computed properties:
V: 27.898 A^3/atom
E: -0.134 Ha/atom

---

No. 7
First-principles (PBE) data for an optimized crystal structure of KFePb2, as listed in Alexandria via LeMat-Bulk.

Lattice parameters (Å, degrees): 6.7031 6.7031 14.7985 90.00 90.00 90.00
Fractional coordinates of all 16 atoms:
K (0.0000, 0.0000, 0.0000)
K (0.0000, 0.5000, 0.2500)
K (0.5000, 0.0000, 0.7500)
K (0.5000, 0.5000, 0.5000)
Fe (0.0000, 0.0000, 0.5000)
Fe (0.0000, 0.5000, 0.7500)
Fe (0.5000, 0.0000, 0.2500)
Fe (0.5000, 0.5000, 0.0000)
Pb (0.0011, 0.2500, 0.6250)
Pb (0.2500, 0.5011, 0.8750)
Pb (0.2500, 0.9989, 0.3750)
Pb (0.4989, 0.2500, 0.1250)
Pb (0.5011, 0.7500, 0.1250)
Pb (0.7500, 0.0011, 0.3750)
Pb (0.7500, 0.4989, 0.8750)
Pb (0.9989, 0.7500, 0.6250)

Computed properties:
V: 41.558 A^3/atom
E: -0.141 Ha/atom

---

No. 8
First-principles (PBE) data for an optimized crystal structure of K2FePb, as listed in Alexandria via LeMat-Bulk.

Lattice parameters (Å, degrees): 3.5203 3.5203 35.8470 90.00 90.00 120.00
Fractional coordinates of all 12 atoms:
K (0.0000, 0.0000, 0.2446)
K (0.0000, 0.0000, 0.7554)
K (0.3333, 0.6667, 0.4221)
K (0.3333, 0.6667, 0.9112)
K (0.6667, 0.3333, 0.0888)
K (0.6667, 0.3333, 0.5779)
Fe (0.0000, 0.0000, 0.5000)
Fe (0.3333, 0.6667, 0.1667)
Fe (0.6667, 0.3333, 0.8333)
Pb (0.0000, 0.0000, 0.0000)
Pb (0.3333, 0.6667, 0.6667)
Pb (0.6667, 0.3333, 0.3333)

Computed properties:
V: 32.060 A^3/atom
E: -0.104 Ha/atom

---

No. 9
First-principles (PBE) data for an optimized crystal structure of K2FePb, as listed in Alexandria via LeMat-Bulk.

Lattice parameters (Å, degrees): 3.4290 3.4290 11.0783 90.00 90.00 90.00
Fractional coordinates of all 4 atoms:
K (0.0000, 0.0000, 0.2341)
K (0.0000, 0.0000, 0.7659)
Fe (0.5000, 0.5000, 0.0000)
Pb (0.5000, 0.5000, 0.5000)

Computed properties:
V: 32.566 A^3/atom
E: -0.106 Ha/atom

---

No. 10
First-principles (PBE) data for an optimized crystal structure of KFePb2, as listed in Alexandria via LeMat-Bulk.

Lattice parameters (Å, degrees): 4.9061 4.9061 4.5978 90.00 90.00 90.00
Fractional coordinates of all 4 atoms:
K (0.0000, 0.0000, 0.0000)
Fe (0.5000, 0.5000, 0.0000)
Pb (0.0000, 0.5000, 0.5000)
Pb (0.5000, 0.0000, 0.5000)

Computed properties:
V: 27.666 A^3/atom
E: -0.134 Ha/atom

---

No. 11
First-principles (PBE) data for an optimized crystal structure of KFePb3, as listed in Alexandria via LeMat-Bulk.

Lattice parameters (Å, degrees): 5.9240 5.9240 5.9240 90.00 90.00 90.00
Fractional coordinates of all 5 atoms:
K (0.0000, 0.0000, 0.0000)
Fe (0.5000, 0.5000, 0.5000)
Pb (0.0000, 0.0000, 0.5000)
Pb (0.0000, 0.5000, 0.0000)
Pb (0.5000, 0.0000, 0.0000)

Computed properties:
Distance to the lowest polymorph of the same formula: 7.09 eV per formula unit
V: 41.580 A^3/atom
E: -0.094 Ha/atom

---

No. 12
First-principles (PBE) data for an optimized crystal structure of KFePb2, as listed in Alexandria via LeMat-Bulk.

Lattice parameters (Å, degrees): 3.5478 4.1743 16.3824 90.00 90.00 90.00
Fractional coordinates of all 8 atoms:
K (0.0000, 0.0000, 0.0000)
K (0.5000, 0.5000, 0.5000)
Fe (0.0000, 0.5000, 0.2843)
Fe (0.5000, 0.0000, 0.7843)
Pb (0.0000, 0.0000, 0.6537)
Pb (0.0000, 0.5000, 0.8182)
Pb (0.5000, 0.0000, 0.3182)
Pb (0.5000, 0.5000, 0.1537)

Computed properties:
V: 30.327 A^3/atom
E: -0.145 Ha/atom

---

No. 13
First-principles (PBE) data for an optimized crystal structure of K2FePb2, as listed in Alexandria via LeMat-Bulk.

Lattice parameters (Å, degrees): 7.3122 7.3122 6.1339 90.00 90.00 90.00
Fractional coordinates of all 10 atoms:
K (0.1719, 0.3281, 0.0000)
K (0.3281, 0.8281, 0.0000)
K (0.6719, 0.1719, 0.0000)
K (0.8281, 0.6719, 0.0000)
Fe (0.0000, 0.0000, 0.5000)
Fe (0.5000, 0.5000, 0.5000)
Pb (0.1597, 0.6597, 0.5000)
Pb (0.3403, 0.1597, 0.5000)
Pb (0.6597, 0.8403, 0.5000)
Pb (0.8403, 0.3403, 0.5000)

Computed properties:
V: 32.797 A^3/atom
E: -0.123 Ha/atom

---

No. 14
First-principles (PBE) data for an optimized crystal structure of KFe2Pb, as listed in Alexandria via LeMat-Bulk.

Lattice parameters (Å, degrees): 3.1611 3.1611 31.3866 90.00 90.00 120.00
Fractional coordinates of all 12 atoms:
K (0.0000, 0.0000, 0.0000)
K (0.3333, 0.6667, 0.6667)
K (0.6667, 0.3333, 0.3333)
Fe (0.0000, 0.0000, 0.2398)
Fe (0.0000, 0.0000, 0.7602)
Fe (0.3333, 0.6667, 0.4268)
Fe (0.3333, 0.6667, 0.9065)
Fe (0.6667, 0.3333, 0.0935)
Fe (0.6667, 0.3333, 0.5732)
Pb (0.0000, 0.0000, 0.5000)
Pb (0.3333, 0.6667, 0.1667)
Pb (0.6667, 0.3333, 0.8333)

Computed properties:
Distance to the lowest polymorph of the same formula: 2.43 eV per formula unit
V: 22.635 A^3/atom
E: -0.161 Ha/atom